(1)
Zn3P2 after structural relaxation, computed with GGA-PBE.

abc: 5.6880 5.6880 5.6880
angles: 90.00 90.00 90.00
With the nearest neighbours (Å) after each atom.
Atoms (fractional coordinates):
Zn 0.2500 0.2500 0.7500  4 P 2.46
Zn 0.2500 0.7500 0.2500  4 P 2.46
Zn 0.2500 0.7500 0.7500  4 P 2.46
Zn 0.7500 0.2500 0.2500  4 P 2.46
Zn 0.7500 0.2500 0.7500  4 P 2.46
Zn 0.7500 0.7500 0.2500  4 P 2.46
P 0.0000 0.0000 0.0000  6 Zn 2.46
P 0.0000 0.5000 0.5000  6 Zn 2.46
P 0.5000 0.0000 0.5000  6 Zn 2.46
P 0.5000 0.5000 0.0000  6 Zn 2.46

As for the space group: Pn-3m, No. 224. The value obtained for the total energy is -2.9260 eV per atom.

=====

(2)
Zn2P after structural relaxation, computed with GGA-PBE.

abc: 5.1021 5.1021 5.1021
angles: 60.00 60.00 60.00
With the nearest neighbours (Å) after each atom.
Atoms (fractional coordinates):
Zn 0.0000 0.0000 0.0000  6 Zn 2.55
Zn 0.0000 0.0000 0.5000  6 Zn 2.55
Zn 0.0000 0.5000 0.0000  6 Zn 2.55
Zn 0.5000 0.0000 0.0000  6 Zn 2.55
P 0.3750 0.3750 0.3750  12 Zn 2.99, 4 P 3.12
P 0.6250 0.6250 0.6250  12 Zn 2.99, 4 P 3.12

As for the space group: Fd-3m, No. 227. The value obtained for the total energy is -2.2264 eV per atom.